Cu2AsP | PBE | optimized geometry

a b c (Å): 4.0066 4.0066 3.6165
angles (deg): 90.00 90.00 90.00
Positions (direct):
Cu: 0.0000 0.5000 0.0000
Cu: 0.5000 0.0000 0.0000
As: 0.0000 0.0000 0.5000
P: 0.5000 0.5000 0.5000

Properties
* total moment: 0.0 μB/f.u.
* symmetry: P4/mmm (123)
* energy of formation from the pure elements: 0.2987 eV/atom
* offset from the most stable computed form: 201 meV/atom
* DOS at the Fermi energy: 1.22 states/eV per cell

---

CuAs2PPb | PBE | optimized geometry

a b c (Å): 5.4370 5.4370 4.8100
angles (deg): 90.00 90.00 90.00
Positions (direct):
Cu: 0.0000 0.0000 0.0000
As: 0.0000 0.5000 0.5000
As: 0.5000 0.0000 0.5000
P: 0.5000 0.5000 0.0000
Pb: 0.0000 0.0000 0.5000

Properties
* total moment: 0.0 μB/f.u.
* symmetry: P4/mmm (123)
* energy of formation from the pure elements: 1.4047 eV/atom
* DOS at the Fermi energy: 4.51 states/eV per cell

---

CuAs2PPd | PBE | optimized geometry

a b c (Å): 4.5347 4.5347 4.7919
angles (deg): 90.00 90.00 90.00
Positions (direct):
Cu: 0.0000 0.0000 0.0000
As: 0.0000 0.5000 0.0000
As: 0.5000 0.0000 0.0000
P: 0.5000 0.5000 0.5000
Pd: 0.0000 0.0000 0.5000

Properties
* total moment: 0.0 μB/f.u.
* symmetry: P4/mmm (123)
* energy of formation from the pure elements: 0.8080 eV/atom
* DOS at the Fermi energy: 3.08 states/eV per cell

---

PmCu2AsP | PBE | optimized geometry

a b c (Å): 4.1677 4.1677 5.9812
angles (deg): 90.00 90.00 90.00
Positions (direct):
Pm: 0.0000 0.0000 0.0000
Cu: 0.0000 0.5000 0.3869
Cu: 0.5000 0.0000 0.3869
As: 0.5000 0.5000 0.1067
P: 0.0000 0.0000 0.5321

Properties
* total moment: 0.0 μB/f.u.
* symmetry: P4mm (99)
* energy of formation from the pure elements: -0.5010 eV/atom
* DOS at the Fermi energy: 2.41 states/eV per cell

---

PrCu2AsP | PBE | optimized geometry

a b c (Å): 3.8668 3.8668 7.0182
angles (deg): 90.00 90.00 90.00
Positions (direct):
Pr: 0.0000 0.0000 0.0000
Cu: 0.0000 0.5000 0.3593
Cu: 0.5000 0.0000 0.3593
As: 0.0000 0.0000 0.5740
P: 0.5000 0.5000 0.1489

Properties
* total moment: 0.0 μB/f.u.
* symmetry: P4mm (99)
* energy of formation from the pure elements: -0.5152 eV/atom
* DOS at the Fermi energy: 0.18 states/eV per cell

---

CuSbAs2P | PBE | optimized geometry

a b c (Å): 4.9849 4.9849 4.2559
angles (deg): 90.00 90.00 90.00
Positions (direct):
Cu: 0.0000 0.0000 0.0000
Sb: 0.5000 0.5000 0.0000
As: 0.0000 0.5000 0.5000
As: 0.5000 0.0000 0.5000
P: 0.0000 0.0000 0.5000

Properties
* total moment: 0.0 μB/f.u.
* symmetry: P4/mmm (123)
* raw formation energy: 0.43 eV per atom
* DOS at the Fermi energy: 3.37 states/eV per cell

---

CuAsPSe2 | PBE | optimized geometry

a b c (Å): 4.7410 4.7410 4.6361
angles (deg): 90.00 90.00 90.00
Positions (direct):
Cu: 0.0000 0.0000 0.0000
As: 0.0000 0.0000 0.5000
P: 0.5000 0.5000 0.5000
Se: 0.0000 0.5000 0.0000
Se: 0.5000 0.0000 0.0000

Properties
* total moment: 0.0 μB/f.u.
* symmetry: P4/mmm (123)
* raw formation energy: 0.82 eV per atom
* offset from the most stable computed form: 28 meV/atom
* DOS at the Fermi energy: 3.55 states/eV per cell

---

CuAsPSe2 | PBE | optimized geometry

a b c (Å): 4.9123 4.9123 4.6186
angles (deg): 90.00 90.00 90.00
Positions (direct):
Cu: 0.0000 0.0000 0.0000
As: 0.5000 0.5000 0.0000
P: 0.5000 0.5000 0.5000
Se: 0.0000 0.5000 0.5000
Se: 0.5000 0.0000 0.5000

Properties
* total moment: 0.0 μB/f.u.
* symmetry: P4/mmm (123)
* raw formation energy: 0.79 eV per atom
* offset from the most stable computed form: 0 meV/atom
* DOS at the Fermi energy: 4.55 states/eV per cell

---

CuSi2AsP | PBE | optimized geometry

a b c (Å): 4.4326 4.4326 4.8024
angles (deg): 90.00 90.00 90.00
Positions (direct):
Cu: 0.0000 0.0000 0.0000
Si: 0.0000 0.5000 0.0000
Si: 0.5000 0.0000 0.0000
As: 0.0000 0.0000 0.5000
P: 0.5000 0.5000 0.5000

Properties
* total moment: 0.0 μB/f.u.
* symmetry: P4/mmm (123)
* raw formation energy: 0.86 eV per atom
* DOS at the Fermi energy: 2.87 states/eV per cell

---

SrCu4AsP2 | PBE | optimized geometry

a b c (Å): 4.1196 4.1196 7.7026
angles (deg): 90.00 90.00 90.00
Positions (direct):
Sr: 0.0000 0.0000 0.0000
Cu: 0.0000 0.5000 0.3131
Cu: 0.0000 0.5000 0.6869
Cu: 0.5000 0.0000 0.3131
Cu: 0.5000 0.0000 0.6869
As: 0.0000 0.0000 0.5000
P: 0.5000 0.5000 0.1548
P: 0.5000 0.5000 0.8452

Properties
* total moment: 0.0 μB/f.u.
* symmetry: P4/mmm (123)
* energy of formation from the pure elements: -0.3507 eV/atom
* DOS at the Fermi energy: 2.51 states/eV per cell

---

Sr2CuAsP | PBE | optimized geometry

a b c (Å): 4.0260 8.3871 7.6127
angles (deg): 90.00 90.00 90.00
Positions (direct):
Sr: 0.2500 0.0177 0.2472
Sr: 0.2500 0.4823 0.2472
Sr: 0.7500 0.5177 0.7528
Sr: 0.7500 0.9823 0.7528
Cu: 0.2500 0.2500 0.5945
Cu: 0.7500 0.7500 0.4055
As: 0.2500 0.2500 0.9075
As: 0.7500 0.7500 0.0925
P: 0.2500 0.7500 0.5540
P: 0.7500 0.2500 0.4460

Properties
* total moment: 0.0 μB/f.u.
* symmetry: Pmmn (59)
* energy of formation from the pure elements: -0.8668 eV/atom
* DOS at the Fermi energy: 2.59 states/eV per cell

---

TbCu2AsP | PBE | optimized geometry

a b c (Å): 7.1334 7.1334 7.1334
angles (deg): 131.45 131.45 71.09
Positions (direct):
Tb: 0.0000 0.0000 0.0000
Tb: 0.5000 0.5000 0.0000
Cu: 0.3971 0.8971 0.9043
Cu: 0.4928 0.3971 0.5000
Cu: 0.8971 0.9928 0.5000
Cu: 0.9928 0.4928 0.0957
As: 0.0315 0.5315 0.5000
As: 0.5315 0.0315 0.5000
P: 0.2631 0.2631 0.0000
P: 0.7631 0.7631 0.0000

Properties
* total moment: 0.0 μB/f.u.
* symmetry: I4cm (108)
* energy of formation from the pure elements: -0.4973 eV/atom
* DOS at the Fermi energy: 4.85 states/eV per cell

---

Pa2CuAs4 | PBE | optimized geometry

a b c (Å): 4.0292 4.0292 8.9359
angles (deg): 90.00 90.00 90.00
Positions (direct):
Pa: 0.0000 0.5000 0.2483
Pa: 0.5000 0.0000 0.7517
Cu: 0.0000 0.0000 0.5000
As: 0.0000 0.0000 0.0000
As: 0.0000 0.5000 0.6575
As: 0.5000 0.0000 0.3425
As: 0.5000 0.5000 0.0000

Properties
* total moment: 0.0 μB/f.u.
* symmetry: P-4m2 (115)
* energy of formation from the pure elements: -0.7507 eV/atom
* DOS at the Fermi energy: 5.78 states/eV per cell

---

PaCuAs2 | PBE | optimized geometry

a b c (Å): 9.6497 9.6497 9.6497
angles (deg): 18.85 18.85 18.85
Positions (direct):
Pa: 0.0000 0.0000 0.0000
Cu: 0.5000 0.5000 0.5000
As: 0.4184 0.4184 0.4184
As: 0.5816 0.5816 0.5816

Properties
* total moment: 0.0 μB/f.u.
* symmetry: R-3m (166)
* energy of formation from the pure elements: -0.0337 eV/atom
* DOS at the Fermi energy: 3.73 states/eV per cell

---

Pa2CuAs | PBE | optimized geometry

a b c (Å): 4.5261 4.5261 4.0181
angles (deg): 90.00 90.00 90.00
Positions (direct):
Pa: 0.0000 0.5000 0.0000
Pa: 0.5000 0.0000 0.0000
Cu: 0.0000 0.0000 0.5000
As: 0.5000 0.5000 0.5000

Properties
* total moment: 0.4 μB/f.u.
* symmetry: P4/mmm (123)
* energy of formation from the pure elements: -0.2773 eV/atom
* offset from the most stable computed form: 0 meV/atom
* DOS at the Fermi energy: 7.05 states/eV per cell

---

PaCuAs2 | PBE | optimized geometry

a b c (Å): 4.4652 4.4652 3.7720
angles (deg): 90.00 90.00 90.00
Positions (direct):
Pa: 0.0000 0.0000 0.0000
Cu: 0.5000 0.5000 0.0000
As: 0.0000 0.5000 0.5000
As: 0.5000 0.0000 0.5000

Properties
* total moment: 0.0 μB/f.u.
* symmetry: P4/mmm (123)
* energy of formation from the pure elements: -0.5872 eV/atom
* DOS at the Fermi energy: 2.27 states/eV per cell

---

PaCuAs2 | PBE | optimized geometry

a b c (Å): 4.7788 4.7788 4.7788
angles (deg): 60.00 60.00 60.00
Positions (direct):
Pa: 0.0000 0.0000 0.0000
Cu: 0.5000 0.5000 0.5000
As: 0.2500 0.2500 0.2500
As: 0.7500 0.7500 0.7500

Properties
* total moment: 0.0 μB/f.u.
* symmetry: Fm-3m (225)
* energy of formation from the pure elements: -0.3744 eV/atom
* DOS at the Fermi energy: 2.23 states/eV per cell

---

Pa2CuAs | PBE | optimized geometry

a b c (Å): 9.9056 9.9056 9.9056
angles (deg): 19.71 19.71 19.71
Positions (direct):
Pa: 0.0958 0.0958 0.0958
Pa: 0.9042 0.9042 0.9042
Cu: 0.0000 0.0000 0.0000
As: 0.5000 0.5000 0.5000

Properties
* total moment: 0.0 μB/f.u.
* symmetry: R-3m (166)
* energy of formation from the pure elements: 0.3045 eV/atom
* offset from the most stable computed form: 582 meV/atom
* DOS at the Fermi energy: 5.76 states/eV per cell

---

PaCuAs2 | PBE | optimized geometry

a b c (Å): 9.5020 9.5020 9.5020
angles (deg): 155.21 155.21 35.35
Positions (direct):
Pa: 0.1137 0.1137 0.0000
Pa: 0.8863 0.8863 0.0000
Cu: 0.2500 0.7500 0.5000
Cu: 0.7500 0.2500 0.5000
As: 0.0000 0.5000 0.5000
As: 0.3344 0.3344 0.0000
As: 0.5000 0.0000 0.5000
As: 0.6656 0.6656 0.0000

Properties
* total moment: 0.0 μB/f.u.
* symmetry: I4/mmm (139)
* energy of formation from the pure elements: -0.6528 eV/atom
* DOS at the Fermi energy: 5.80 states/eV per cell

---

PmPaCuAs | PBE | optimized geometry

a b c (Å): 5.0148 5.0148 5.0148
angles (deg): 60.00 60.00 60.00
Positions (direct):
Pm: 0.0000 0.0000 0.0000
Pa: 0.5000 0.5000 0.5000
Cu: 0.7500 0.7500 0.7500
As: 0.2500 0.2500 0.2500

Properties
* total moment: 1.7 μB/f.u.
* symmetry: F-43m (216)
* energy of formation from the pure elements: -0.3130 eV/atom
* DOS at the Fermi energy: 8.36 states/eV per cell

---

Sr4Pa3CuAs8 | PBE | optimized geometry

a b c (Å): 8.5653 8.5653 8.5653
angles (deg): 59.41 59.41 59.41
Positions (direct):
Sr: 0.0000 0.0000 0.0000
Sr: 0.0000 0.5000 0.5000
Sr: 0.5000 0.0000 0.5000
Sr: 0.5000 0.5000 0.0000
Pa: 0.0000 0.0000 0.5000
Pa: 0.0000 0.5000 0.0000
Pa: 0.5000 0.0000 0.0000
Cu: 0.5000 0.5000 0.5000
As: 0.2329 0.7381 0.7381
As: 0.2399 0.2399 0.2399
As: 0.2619 0.2619 0.7671
As: 0.2619 0.7671 0.2619
As: 0.7381 0.2329 0.7381
As: 0.7381 0.7381 0.2329
As: 0.7601 0.7601 0.7601
As: 0.7671 0.2619 0.2619

Properties
* total moment: 0.0 μB/f.u.
* symmetry: R-3m (166)
* energy of formation from the pure elements: -0.9328 eV/atom
* DOS at the Fermi energy: 2.67 states/eV per cell

---

SrPaCuAs3 | PBE | optimized geometry

a b c (Å): 8.4124 4.1709 9.0774
angles (deg): 90.00 100.63 90.00
Positions (direct):
Sr: 0.1870 0.2500 0.2452
Sr: 0.8130 0.7500 0.7548
Pa: 0.3185 0.7500 0.8484
Pa: 0.6815 0.2500 0.1516
Cu: 0.0833 0.2500 0.5997
Cu: 0.9167 0.7500 0.4003
As: 0.0994 0.2500 0.8730
As: 0.2016 0.7500 0.5294
As: 0.4520 0.7500 0.1670
As: 0.5480 0.2500 0.8330
As: 0.7984 0.2500 0.4706
As: 0.9006 0.7500 0.1270

Properties
* total moment: 0.0 μB/f.u.
* symmetry: P2_1/m (11)
* energy of formation from the pure elements: -0.7515 eV/atom
* DOS at the Fermi energy: 6.85 states/eV per cell

---

CuAs2Pb | PBE | optimized geometry

a b c (Å): 4.5457 4.7218 4.5900
angles (deg): 90.00 92.97 90.00
Positions (direct):
Cu: 0.0000 0.0000 0.0000
As: 0.4836 0.0000 0.8377
As: 0.7838 0.5000 0.9646
Pb: 0.3457 0.5000 0.3961

Properties
* total moment: 0.0 μB/f.u.
* symmetry: Pm (6)
* energy of formation from the pure elements: 0.1754 eV/atom
* DOS at the Fermi energy: 1.50 states/eV per cell

---

CuAs2Pb | PBE | optimized geometry

a b c (Å): 3.8087 4.6443 4.7170
angles (deg): 90.00 90.00 90.00
Positions (direct):
Cu: 0.0000 0.0000 0.0000
As: 0.0000 0.5000 0.5000
As: 0.5000 0.0000 0.5000
Pb: 0.5000 0.5000 0.0000

Properties
* total moment: 0.0 μB/f.u.
* symmetry: Pmmm (47)
* energy of formation from the pure elements: 0.3924 eV/atom
* DOS at the Fermi energy: 1.42 states/eV per cell

---

CuAs2Pb | PBE | optimized geometry

a b c (Å): 4.8994 4.8994 4.8994
angles (deg): 60.00 60.00 60.00
Positions (direct):
Cu: 0.0000 0.0000 0.0000
As: 0.2500 0.2500 0.2500
As: 0.5000 0.5000 0.5000
Pb: 0.7500 0.7500 0.7500

Properties
* total moment: 0.0 μB/f.u.
* symmetry: F-43m (216)
* energy of formation from the pure elements: 0.4179 eV/atom
* DOS at the Fermi energy: 3.85 states/eV per cell

---

CuAs4Pb | PBE | optimized geometry

a b c (Å): 5.6618 5.6618 5.6618
angles (deg): 60.00 60.00 60.00
Positions (direct):
Cu: 0.0000 0.0000 0.0000
As: 0.3729 0.3729 0.3729
As: 0.3729 0.3729 0.8812
As: 0.3729 0.8812 0.3729
As: 0.8812 0.3729 0.3729
Pb: 0.7500 0.7500 0.7500

Properties
* total moment: 0.0 μB/f.u.
* symmetry: F-43m (216)
* energy of formation from the pure elements: 0.4349 eV/atom
* DOS at the Fermi energy: 1.64 states/eV per cell

---

CuAs2Pb | PBE | optimized geometry

a b c (Å): 4.5726 3.8682 5.2165
angles (deg): 90.00 106.88 90.00
Positions (direct):
Cu: 0.0000 0.0000 0.0000
As: 0.2363 0.5000 0.8424
As: 0.7637 0.5000 0.1576
Pb: 0.5000 0.0000 0.5000

Properties
* total moment: 0.0 μB/f.u.
* symmetry: P2/m (10)
* energy of formation from the pure elements: 0.0656 eV/atom
* DOS at the Fermi energy: 1.41 states/eV per cell